(1)
Density functional theory data (meta-GGA SCAN) for a crystal of AlTlRu2 relaxed with PBEsol.

Properties
The energy of formation is 0.213 eV per atom. The total magnetization comes out at 0.001 μB/atom. Its calculated volume is 15.858 Å³ per atom.

The structure in POSCAR format:
```
AlTlRu2
1.0
2.880 0.000 0.000
0.000 3.722 0.000
0.000 0.000 5.918
Al Tl Ru
1 1 2
Direct
0.000 0.000 0.000
0.500 0.500 0.683
0.000 0.000 0.419
0.500 0.500 0.186
```



(2)
Density functional theory data (meta-GGA SCAN) for a crystal of BeTc2P relaxed with PBEsol.

Properties
The distance to the lowest polymorph of the same formula is 0.272 eV/atom. The energy of formation is -0.222 eV per atom. The total magnetization comes out at 0.000 μB/atom. Its calculated volume is 11.677 Å³ per atom.

The structure in POSCAR format:
```
BeTc2P
1.0
2.868 0.000 0.000
0.000 2.868 0.000
0.000 0.000 5.677
Be Tc P
1 2 1
Direct
0.000 0.000 0.000
0.500 0.500 0.254
0.500 0.500 0.746
0.000 0.000 0.500
```



(3)
Density functional theory data (meta-GGA SCAN) for a crystal of Ni3OsPt relaxed with PBEsol.

Properties
The energy of formation is 1.919 eV per atom. The total magnetization comes out at 1.195 μB/atom. Its calculated volume is 17.163 Å³ per atom.

The structure in POSCAR format:
```
Ni3OsPt
1.0
4.411 0.000 0.000
0.000 4.411 0.000
0.000 0.000 4.411
Ni Os Pt
3 1 1
Direct
0.000 0.000 0.500
0.000 0.500 0.000
0.500 0.000 0.000
0.500 0.500 0.500
0.000 0.000 0.000
```



(4)
Density functional theory data (meta-GGA SCAN) for a crystal of Mg2ZnIn relaxed with PBEsol.

Properties
The energy of formation is -0.126 eV per atom. The total magnetization comes out at 0.000 μB/atom. Its calculated volume is 20.402 Å³ per atom.

The structure in POSCAR format:
```
Mg2ZnIn
1.0
4.463 0.000 0.000
0.000 3.313 0.000
0.000 0.000 11.038
Mg Zn In
4 2 2
Direct
0.000 0.000 0.000
0.000 0.500 0.500
0.500 0.000 0.334
0.500 0.500 0.834
0.000 0.000 0.750
0.000 0.500 0.250
0.500 0.000 0.602
0.500 0.500 0.102
```



(5)
Density functional theory data (meta-GGA SCAN) for a crystal of FeCoSi2 relaxed with PBEsol.

Properties
The calculation puts the energy relative to the elements, uncorrected at -498 meV/atom. The total magnetization comes out at 0.258 μB/atom. Its calculated volume is 10.655 Å³ per atom.

The structure in POSCAR format:
```
FeCoSi2
1.0
4.403 0.000 0.000
0.000 4.397 0.000
-0.024 0.000 4.404
Fe Co Si
2 2 4
Direct
0.141 0.000 0.389
0.859 0.500 0.611
0.361 0.281 0.893
0.639 0.781 0.107
0.156 0.800 0.906
0.343 0.484 0.411
0.657 0.984 0.589
0.844 0.300 0.094
```



(6)
Density functional theory data (meta-GGA SCAN) for a crystal of Sr2CoSe relaxed with PBEsol.

Properties
The calculation puts the energy relative to the elements, uncorrected at -692 meV/atom. The total magnetization comes out at 0.330 μB/atom. Its calculated volume is 28.972 Å³ per atom.

The structure in POSCAR format:
```
Sr2CoSe
1.0
4.218 0.000 0.000
-2.109 3.653 0.000
0.000 0.000 22.561
Sr Co Se
6 3 3
Direct
0.000 0.000 0.248
0.000 0.000 0.752
0.333 0.667 0.419
0.333 0.667 0.915
0.667 0.333 0.085
0.667 0.333 0.581
0.000 0.000 0.000
0.333 0.667 0.667
0.667 0.333 0.333
0.000 0.000 0.500
0.333 0.667 0.167
0.667 0.333 0.833
```



(7)
Density functional theory data (meta-GGA SCAN) for a crystal of Ca2MgZr relaxed with PBEsol.

Properties
The energy of formation is 0.333 eV per atom. The total magnetization comes out at 0.272 μB/atom. Its calculated volume is 28.025 Å³ per atom.

The structure in POSCAR format:
```
Ca2MgZr
1.0
3.857 0.000 0.000
0.000 5.371 0.000
0.000 0.000 5.411
Ca Mg Zr
2 1 1
Direct
0.000 0.000 0.000
0.500 0.500 0.000
0.000 0.500 0.500
0.500 0.000 0.500
```



(8)
Density functional theory data (meta-GGA SCAN) for a crystal of LaCdSi2F relaxed with PBEsol.

Properties
The calculation puts the energy relative to the elements, uncorrected at -359 meV/atom. The total magnetization comes out at 0.000 μB/atom. Its calculated volume is 21.805 Å³ per atom.

The structure in POSCAR format:
```
LaCdSi2F
1.0
4.901 0.000 0.000
0.000 4.901 0.000
0.000 0.000 4.539
La Cd Si F
1 1 2 1
Direct
0.000 0.000 0.000
0.500 0.500 0.500
0.000 0.500 0.500
0.500 0.000 0.500
0.500 0.500 0.000
```



(9)
Density functional theory data (meta-GGA SCAN) for a crystal of Sc2SbSe relaxed with PBEsol.

Properties
The distance to the lowest polymorph of the same formula is 0.405 eV/atom. The calculation puts the energy relative to the elements, uncorrected at -989 meV/atom. The total magnetization comes out at 0.000 μB/atom. Its calculated volume is 30.207 Å³ per atom.

The structure in POSCAR format:
```
Sc2SbSe
1.0
6.213 0.000 0.000
0.000 6.213 0.000
0.000 0.000 12.519
Sc Sb Se
8 4 4
Direct
0.227 0.250 0.125
0.250 0.727 0.375
0.250 0.773 0.875
0.273 0.250 0.625
0.727 0.750 0.625
0.750 0.227 0.875
0.750 0.273 0.375
0.773 0.750 0.125
0.000 0.000 0.500
0.000 0.500 0.750
0.500 0.000 0.250
0.500 0.500 0.000
0.000 0.000 0.000
0.000 0.500 0.250
0.500 0.000 0.750
0.500 0.500 0.500
```



(10)
Density functional theory data (meta-GGA SCAN) for a crystal of ReOs2Se relaxed with PBEsol.

Properties
The calculation puts the energy relative to the elements, uncorrected at 914 meV/atom. The total magnetization comes out at 0.000 μB/atom. Its calculated volume is 14.667 Å³ per atom.

The structure in POSCAR format:
```
ReOs2Se
1.0
4.146 0.000 0.000
0.000 4.146 0.000
0.000 0.000 6.825
Re Os Se
2 4 2
Direct
0.000 0.000 0.000
0.500 0.500 0.500
0.000 0.000 0.500
0.000 0.500 0.750
0.500 0.000 0.250
0.500 0.500 0.000
0.000 0.500 0.250
0.500 0.000 0.750
```



(11)
Density functional theory data (meta-GGA SCAN) for a crystal of LiNi2Pt2 relaxed with PBEsol.

Properties
The energy of formation is 0.015 eV per atom. The total magnetization comes out at 0.542 μB/atom. Its calculated volume is 13.954 Å³ per atom.

The structure in POSCAR format:
```
LiNi2Pt2
1.0
3.352 0.000 0.000
0.000 3.352 0.000
0.000 0.000 12.417
Li Ni Pt
2 4 4
Direct
0.000 0.000 0.000
0.500 0.500 0.500
0.000 0.500 0.250
0.000 0.500 0.750
0.500 0.000 0.250
0.500 0.000 0.750
0.000 0.000 0.398
0.000 0.000 0.602
0.500 0.500 0.102
0.500 0.500 0.898
```



(12)
Density functional theory data (meta-GGA SCAN) for a crystal of Cu2SiAu relaxed with PBEsol.

Properties
The calculation puts the energy relative to the elements, uncorrected at -7 meV/atom. The total magnetization comes out at 0.000 μB/atom. Its calculated volume is 13.222 Å³ per atom.

The structure in POSCAR format:
```
Cu2SiAu
1.0
3.764 0.000 0.000
0.000 3.764 0.000
0.000 0.000 3.734
Cu Si Au
2 1 1
Direct
0.000 0.500 0.000
0.500 0.000 0.000
0.000 0.000 0.500
0.500 0.500 0.500
```



(13)
Density functional theory data (meta-GGA SCAN) for a crystal of PaO2 relaxed with PBEsol.

Properties
The calculation puts the energy relative to the elements, uncorrected at -3760 meV/atom. The total magnetization comes out at 0.000 μB/atom. Its calculated volume is 13.055 Å³ per atom.

The structure in POSCAR format:
```
PaO2
1.0
5.391 0.000 0.000
0.000 5.391 0.000
0.000 0.000 5.391
Pa O
4 8
Direct
0.000 0.000 0.000
0.000 0.500 0.500
0.500 0.000 0.500
0.500 0.500 0.000
0.250 0.250 0.250
0.250 0.250 0.750
0.250 0.750 0.250
0.250 0.750 0.750
0.750 0.250 0.250
0.750 0.250 0.750
0.750 0.750 0.250
0.750 0.750 0.750
```



(14)
Density functional theory data (meta-GGA SCAN) for a crystal of KBa3 relaxed with PBEsol.

Properties
The distance to the lowest polymorph of the same formula is 0.045 eV/atom. The energy of formation is 0.094 eV per atom. The total magnetization comes out at 0.069 μB/atom. Its calculated volume is 61.035 Å³ per atom.

The structure in POSCAR format:
```
KBa3
1.0
4.707 0.000 0.000
0.000 7.201 0.000
0.000 0.000 14.406
K Ba
2 6
Direct
0.000 0.000 0.000
0.500 0.500 0.500
0.000 0.000 0.500
0.000 0.500 0.254
0.000 0.500 0.746
0.500 0.000 0.246
0.500 0.000 0.754
0.500 0.500 0.000
```



(15)
Density functional theory data (meta-GGA SCAN) for a crystal of MnNiHg relaxed with PBEsol.

Properties
The energy of formation is 0.312 eV per atom. The total magnetization comes out at 1.539 μB/atom. Its calculated volume is 17.023 Å³ per atom.

The structure in POSCAR format:
```
MnNiHg
1.0
5.889 0.000 0.000
0.000 5.889 0.000
0.000 0.000 5.889
Mn Ni Hg
4 4 4
Direct
0.000 0.000 0.000
0.000 0.500 0.500
0.500 0.000 0.500
0.500 0.500 0.000
0.250 0.250 0.750
0.250 0.750 0.250
0.750 0.250 0.250
0.750 0.750 0.750
0.250 0.250 0.250
0.250 0.750 0.750
0.750 0.250 0.750
0.750 0.750 0.250
```



(16)
Density functional theory data (meta-GGA SCAN) for a crystal of RbLa2SnTe relaxed with PBEsol.

Properties
The calculation puts the energy relative to the elements, uncorrected at -306 meV/atom. The total magnetization comes out at 0.033 μB/atom. Its calculated volume is 43.440 Å³ per atom.

The structure in POSCAR format:
```
RbLa2SnTe
1.0
5.958 0.000 0.000
0.000 5.958 0.000
0.000 0.000 6.119
Rb La Sn Te
1 2 1 1
Direct
0.000 0.000 0.000
0.000 0.500 0.500
0.500 0.000 0.500
0.500 0.500 0.000
0.000 0.000 0.500
```



(17)
Density functional theory data (meta-GGA SCAN) for a crystal of CsSi3Cl relaxed with PBEsol.

Properties
The calculation puts the energy relative to the elements, uncorrected at 1168 meV/atom. The total magnetization comes out at 0.000 μB/atom. Its calculated volume is 25.756 Å³ per atom.

The structure in POSCAR format:
```
CsSi3Cl
1.0
5.050 0.000 0.000
0.000 5.050 0.000
0.000 0.000 5.050
Cs Si Cl
1 3 1
Direct
0.000 0.000 0.000
0.000 0.500 0.500
0.500 0.000 0.500
0.500 0.500 0.000
0.500 0.500 0.500
```



(18)
Density functional theory data (meta-GGA SCAN) for a crystal of BaNaSr2 relaxed with PBEsol.

Properties
The energy of formation is 0.090 eV per atom. The total magnetization comes out at 0.091 μB/atom. Its calculated volume is 50.504 Å³ per atom.

The structure in POSCAR format:
```
BaNaSr2
1.0
9.314 0.000 0.000
0.000 9.314 0.000
0.000 0.000 9.314
Ba Na Sr
4 4 8
Direct
0.000 0.000 0.000
0.000 0.500 0.500
0.500 0.000 0.500
0.500 0.500 0.000
0.000 0.000 0.500
0.000 0.500 0.000
0.500 0.000 0.000
0.500 0.500 0.500
0.250 0.250 0.250
0.250 0.250 0.750
0.250 0.750 0.250
0.250 0.750 0.750
0.750 0.250 0.250
0.750 0.250 0.750
0.750 0.750 0.250
0.750 0.750 0.750
```



(19)
Density functional theory data (meta-GGA SCAN) for a crystal of BaPt2Au relaxed with PBEsol.

Properties
The distance to the lowest polymorph of the same formula is 0.753 eV/atom. The energy of formation is 0.111 eV per atom. The total magnetization comes out at 0.000 μB/atom. Its calculated volume is 20.712 Å³ per atom.

The structure in POSCAR format:
```
BaPt2Au
1.0
6.920 0.000 0.000
0.000 6.920 0.000
0.000 0.000 6.920
Ba Pt Au
4 8 4
Direct
0.000 0.000 0.000
0.000 0.500 0.500
0.500 0.000 0.500
0.500 0.500 0.000
0.250 0.250 0.250
0.250 0.250 0.750
0.250 0.750 0.250
0.250 0.750 0.750
0.750 0.250 0.250
0.750 0.250 0.750
0.750 0.750 0.250
0.750 0.750 0.750
0.000 0.000 0.500
0.000 0.500 0.000
0.500 0.000 0.000
0.500 0.500 0.500
```



(20)
Density functional theory data (meta-GGA SCAN) for a crystal of Mn3BPd relaxed with PBEsol.

Properties
The energy of formation is -0.139 eV per atom. The total magnetization comes out at 1.956 μB/atom. Its calculated volume is 11.905 Å³ per atom.

The structure in POSCAR format:
```
Mn3BPd
1.0
3.904 0.000 0.000
0.000 3.904 0.000
0.000 0.000 3.904
Mn B Pd
3 1 1
Direct
0.000 0.000 0.500
0.000 0.500 0.000
0.500 0.000 0.000
0.000 0.000 0.000
0.500 0.500 0.500
```